Entry 1:
Material: Li4Pr3Pb4
Method: DFT, PBE-GGA
State: optimized geometry

Fermi-level density of states: 4.48 states/eV per cell
magnetic moment: 0.000 μB/atom
space-group type: P-1 (2)
offset from the most stable computed form: 0.090 eV per atom
calculated volume: 285.54 Å³ per cell

a = 3.8152 Å, b = 4.9180 Å, c = 15.5336 Å
α = 80.89°, β = 82.95°, γ = 90.00°
Closest atoms and distances in Å follow each position.
Atoms (fractional coordinates):
Pb: 0.5528 0.5513 0.8969  2 Li 2.77-2.78
Pr: 0.0000 0.0000 0.0000  4 Li 3.44, 8 Pb 3.48-3.49, 2 Pr 3.82
Li: 0.5938 0.0939 0.8123  3 Pb 2.77-2.80
Pr: 0.8574 0.3570 0.2853  6 Pb 3.36-3.38, 6 Li 3.45-3.58
Li: 0.7418 0.7419 0.5155  4 Pb 2.90-3.00, 4 Li 3.14-3.15
Li: 0.2582 0.2581 0.4845  4 Pb 2.90-3.00, 4 Li 3.14-3.15
Li: 0.4062 0.9061 0.1878  3 Pb 2.77-2.80
Pb: 0.4473 0.4487 0.1031  2 Li 2.77-2.78
Pb: 0.3137 0.8138 0.3716  5 Li 2.80-3.00
Pr: 0.1427 0.6430 0.7147  6 Pb 3.36-3.38, 6 Li 3.45-3.58
Pb: 0.6863 0.1862 0.6284  5 Li 2.80-3.00

=====

Entry 2:
Material: ReAg2Pt
Method: DFT, PBE-GGA
State: optimized geometry

Fermi-level density of states: 2.53 states/eV per cell
magnetic moment: 0.000 μB/atom
space-group type: Cm (8)
offset from the most stable computed form: 0.157 eV per atom
calculated volume: 65.55 Å³ per cell

a = 4.8261 Å, b = 4.8261 Å, c = 5.2047 Å
α = 83.07°, β = 83.07°, γ = 33.03°
Closest atoms and distances in Å follow each position.
Atoms (fractional coordinates):
Ag: 0.9978 0.9978 0.9819  5 Ag 2.66-2.81, 2 Pt 2.84, 3 Re 2.97-2.98
Ag: 0.7505 0.7505 0.7700  5 Ag 2.66-2.81, 2 Re 2.86, 1 Pt 2.96
Re: 0.2474 0.2474 0.2891  3 Pt 2.64-2.69, 2 Re 2.74, 2 Ag 2.86
Pt: 0.5043 0.5043 0.4590  3 Re 2.64-2.69, 2 Pt 2.74, 2 Ag 2.84

=====

Entry 3:
Material: MgTiPt2
Method: DFT, PBE-GGA
State: optimized geometry

Fermi-level density of states: 2.66 states/eV per cell
magnetic moment: 0.000 μB/atom
space-group type: Immm (71)
calculated total energy: -21.75 eV/cell
calculated volume: 71.10 Å³ per cell

a = 5.8950 Å, b = 5.8950 Å, c = 5.8950 Å
α = 57.44°, β = 152.64°, γ = 130.55°
Closest atoms and distances in Å follow each position.
Atoms (fractional coordinates):
Pt: 0.0000 0.2647 0.2647  1 Ti 2.43
Ti: 0.0000 0.5000 0.5000  2 Pt 2.43
Pt: 0.0000 0.7353 0.7353  1 Ti 2.43
Mg: 0.0000 0.0000 0.0000  2 Pt 2.74, 2 Mg 2.79, 4 Ti 2.83

=====

Entry 4:
Material: VFe2H
Method: DFT, PBE-GGA
State: optimized geometry

Fermi-level density of states: 3.17 states/eV per cell
magnetic moment: 0.338 μB/atom
space-group type: P4/mmm (123)
offset from the most stable computed form: 0.325 eV per atom
calculated volume: 38.62 Å³ per cell

a = 2.7662 Å, b = 2.7662 Å, c = 5.0478 Å
α = 90.00°, β = 90.00°, γ = 90.00°
Closest atoms and distances in Å follow each position.
Atoms (fractional coordinates):
H: 0.5000 0.5000 0.0000  8 Fe 2.24
Fe: 0.0000 0.0000 0.2155  1 Fe 2.18, 4 H 2.24, 4 V 2.43
Fe: 0.0000 0.0000 0.7845  1 Fe 2.18, 4 H 2.24, 4 V 2.43
V: 0.5000 0.5000 0.5000  8 Fe 2.43, 2 H 2.52